Entry 1:
{"formula": "Sm2YGa2", "functional": "PBE-GGA", "state": "optimized geometry", "formation_enthalpy_0k_ev_per_fu": -1.8, "cell": [[6.2660, -1.8202, 0.0000], [6.2660, 1.8202, 0.0000], [-1.2668, 0.0000, 5.9177]], "species": ["Sm", "Sm", "Y", "Ga", "Ga"], "frac_coords": [[0.1355, 0.1355, 0.0708], [0.8645, 0.8645, 0.9292], [0.5000, 0.5000, 0.5000], [0.2005, 0.2005, 0.6088], [0.7995, 0.7995, 0.3912]]}

Entry 2:
{"formula": "SmY3Ga8", "functional": "PBE-GGA", "state": "optimized geometry", "formation_enthalpy_0k_ev_per_fu": -6.9, "cell": [[2.7569, 1.5917, 9.1225], [-2.7569, 1.5917, 9.1225], [0.0000, -3.1834, 9.1225]], "species": ["Sm", "Y", "Y", "Y", "Ga", "Ga", "Ga", "Ga", "Ga", "Ga", "Ga", "Ga"], "frac_coords": [[0.0000, 0.0000, 0.0000], [0.3762, 0.3762, 0.3762], [0.4997, 0.4997, 0.4997], [0.8759, 0.8759, 0.8759], [0.1877, 0.1877, 0.1877], [0.4374, 0.4374, 0.9371], [0.4374, 0.9371, 0.4374], [0.4386, 0.9383, 0.9383], [0.6881, 0.6881, 0.6881], [0.9371, 0.4374, 0.4374], [0.9383, 0.4386, 0.9383], [0.9383, 0.9383, 0.4386]]}

Entry 3:
{"formula": "SmY2Ga2", "functional": "PBE-GGA", "state": "optimized geometry", "formation_enthalpy_0k_ev_per_fu": -2.6, "cell": [[7.7076, 0.0000, 0.0000], [0.0000, 7.7076, 0.0000], [0.0000, 0.0000, 4.3650]], "species": ["Sm", "Sm", "Y", "Y", "Y", "Y", "Ga", "Ga", "Ga", "Ga"], "frac_coords": [[0.0000, 0.0000, 0.0000], [0.5000, 0.5000, 0.0000], [0.1744, 0.3256, 0.5000], [0.3256, 0.8256, 0.5000], [0.6744, 0.1744, 0.5000], [0.8256, 0.6744, 0.5000], [0.1186, 0.6186, 0.0000], [0.3814, 0.1186, 0.0000], [0.6186, 0.8814, 0.0000], [0.8814, 0.3814, 0.0000]]}

Entry 4:
{"formula": "SmY3Ga3", "functional": "PBE-GGA", "state": "optimized geometry", "formation_enthalpy_0k_ev_per_fu": -3.1, "cell": [[9.2460, 0.0000, 0.0000], [-4.6230, 8.0072, 0.0000], [0.0000, 0.0000, 4.7982]], "species": ["Sm", "Sm", "Y", "Y", "Y", "Y", "Y", "Y", "Ga", "Ga", "Ga", "Ga", "Ga", "Ga"], "frac_coords": [[0.3333, 0.6667, 0.2500], [0.6667, 0.3333, 0.7500], [0.0186, 0.7607, 0.7500], [0.2393, 0.2579, 0.7500], [0.2579, 0.0186, 0.2500], [0.7421, 0.9814, 0.7500], [0.7607, 0.7421, 0.2500], [0.9814, 0.2393, 0.2500], [0.0575, 0.4496, 0.7500], [0.3921, 0.9425, 0.7500], [0.4496, 0.3921, 0.2500], [0.5504, 0.6079, 0.7500], [0.6079, 0.0575, 0.2500], [0.9425, 0.5504, 0.2500]]}

Entry 5:
{"formula": "Sm2Y2ZnGa4", "functional": "PBE-GGA", "state": "optimized geometry", "formation_enthalpy_0k_ev_per_fu": -2.6, "cell": [[-3.5168, 3.5168, 4.3817], [3.5168, -3.5168, 4.3817], [3.5168, 3.5168, -4.3817]], "species": ["Sm", "Sm", "Y", "Y", "Zn", "Ga", "Ga", "Ga", "Ga"], "frac_coords": [[0.1874, 0.1874, 0.0000], [0.8126, 0.8126, 0.0000], [0.2500, 0.7500, 0.5000], [0.7500, 0.2500, 0.5000], [0.5000, 0.5000, 0.0000], [0.2578, 0.2578, 0.5156], [0.2578, 0.7422, 0.0000], [0.7422, 0.2578, 0.0000], [0.7422, 0.7422, 0.4844]]}

Entry 6:
{"formula": "SmYZnGa", "functional": "PBE-GGA", "state": "optimized geometry", "formation_enthalpy_0k_ev_per_fu": -1.9, "cell": [[0.0000, 3.6173, 3.6173], [3.6173, 0.0000, 3.6173], [3.6173, 3.6173, 0.0000]], "species": ["Sm", "Y", "Zn", "Ga"], "frac_coords": [[0.0000, 0.0000, 0.0000], [0.5000, 0.5000, 0.5000], [0.7500, 0.7500, 0.7500], [0.2500, 0.2500, 0.2500]]}

Entry 7:
{"formula": "SmZn2Ga3", "functional": "PBE-GGA", "state": "optimized geometry", "formation_enthalpy_0k_ev_per_fu": -2.0, "cell": [[7.6372, -2.1721, 0.0000], [7.6372, 2.1721, 0.0000], [-3.1041, 0.0000, 6.9349]], "species": ["Sm", "Sm", "Zn", "Zn", "Zn", "Zn", "Ga", "Ga", "Ga", "Ga", "Ga", "Ga"], "frac_coords": [[0.1473, 0.1473, 0.0989], [0.8527, 0.8527, 0.9011], [0.1818, 0.1818, 0.6724], [0.4832, 0.4832, 0.8300], [0.5168, 0.5168, 0.1700], [0.8182, 0.8182, 0.3276], [0.0069, 0.0069, 0.3410], [0.3196, 0.3196, 0.5455], [0.3580, 0.3580, 0.1947], [0.6420, 0.6420, 0.8053], [0.6804, 0.6804, 0.4545], [0.9931, 0.9931, 0.6590]]}

Entry 8:
{"formula": "SmZn3Ga3", "functional": "PBE-GGA", "state": "optimized geometry", "formation_enthalpy_0k_ev_per_fu": 3.4, "cell": [[0.0000, 5.8578, 5.8578], [5.8578, 0.0000, 5.8578], [5.8578, 5.8578, 0.0000]], "species": ["Sm", "Sm", "Zn", "Zn", "Zn", "Zn", "Zn", "Zn", "Ga", "Ga", "Ga", "Ga", "Ga", "Ga"], "frac_coords": [[0.2500, 0.2500, 0.2500], [0.7500, 0.7500, 0.7500], [0.1512, 0.1512, 0.8488], [0.1512, 0.8488, 0.1512], [0.1512, 0.8488, 0.8488], [0.8488, 0.1512, 0.1512], [0.8488, 0.1512, 0.8488], [0.8488, 0.8488, 0.1512], [0.3440, 0.3440, 0.6560], [0.3440, 0.6560, 0.3440], [0.3440, 0.6560, 0.6560], [0.6560, 0.3440, 0.3440], [0.6560, 0.3440, 0.6560], [0.6560, 0.6560, 0.3440]]}

Entry 9:
{"formula": "Sm2ZnGa5", "functional": "PBE-GGA", "state": "optimized geometry", "formation_enthalpy_0k_ev_per_fu": -3.9, "cell": [[-3.0529, 3.0529, 4.3410], [3.0529, -3.0529, 4.3410], [3.0529, 3.0529, -4.3410]], "species": ["Sm", "Sm", "Zn", "Ga", "Ga", "Ga", "Ga", "Ga"], "frac_coords": [[0.0000, 0.5000, 0.5000], [0.5000, 0.0000, 0.5000], [0.0498, 0.0498, 0.0000], [0.4715, 0.4715, 0.0000], [0.5143, 0.5143, 0.5294], [0.5143, 0.9849, 0.0000], [0.9849, 0.5143, 0.0000], [0.9849, 0.9849, 0.4706]]}

Entry 10:
{"formula": "SmZn9Ga2", "functional": "PBE-GGA", "state": "optimized geometry", "formation_enthalpy_0k_ev_per_fu": -0.3, "cell": [[8.3879, 0.0000, 0.0000], [-4.1940, 7.2642, 0.0000], [0.0000, 0.0000, 3.5111]], "species": ["Sm", "Zn", "Zn", "Zn", "Zn", "Zn", "Zn", "Zn", "Zn", "Zn", "Ga", "Ga"], "frac_coords": [[0.0000, 0.0000, 0.0000], [0.0000, 0.5000, 0.0000], [0.1853, 0.3705, 0.5000], [0.1853, 0.8147, 0.5000], [0.3705, 0.1853, 0.5000], [0.5000, 0.0000, 0.0000], [0.5000, 0.5000, 0.0000], [0.6295, 0.8147, 0.5000], [0.8147, 0.1853, 0.5000], [0.8147, 0.6295, 0.5000], [0.3333, 0.6667, 0.0000], [0.6667, 0.3333, 0.0000]]}

Entry 11:
{"formula": "SmZnGa", "functional": "PBE-GGA", "state": "optimized geometry", "formation_enthalpy_0k_ev_per_fu": -1.2, "cell": [[0.0000, 3.2451, 3.2451], [3.2451, 0.0000, 3.2451], [3.2451, 3.2451, 0.0000]], "species": ["Sm", "Zn", "Ga"], "frac_coords": [[0.0000, 0.0000, 0.0000], [0.7500, 0.7500, 0.7500], [0.5000, 0.5000, 0.5000]]}

Entry 12:
{"formula": "Sm2Zn3Ga2", "functional": "PBE-GGA", "state": "optimized geometry", "formation_enthalpy_0k_ev_per_fu": -2.0, "cell": [[2.0874, -10.3698, 0.0000], [2.0874, 10.3698, 0.0000], [0.0000, 0.0000, 3.4631]], "species": ["Sm", "Sm", "Zn", "Zn", "Zn", "Ga", "Ga"], "frac_coords": [[0.1521, 0.8479, 0.0000], [0.8479, 0.1521, 0.0000], [0.0000, 0.0000, 0.0000], [0.4372, 0.5628, 0.5000], [0.5628, 0.4372, 0.5000], [0.2843, 0.7157, 0.5000], [0.7157, 0.2843, 0.5000]]}